Arrangement P

Compound: RbLiZn2
Source: the Alexandria database
Functional: GGA-PBEsol
Structure: optimized geometry

The value obtained for the density of states at the Fermi level is 7.10 states/eV per cell. As for the size of the total moment: 0.00 μB/cell. The volume comes out at 29.62 Å³ per atom.

The space group is I4_1/amd (No. 141, origin choice 2) and the conventional cell measures 4.940, 4.940 and 19.423 Å, with angles of 90.00, 90.00 and 90.00 degrees. The distinct sites, in fractional coordinates, are Rb at (0.000, 0.250, 0.375), Li at (0.000, 0.250, 0.875) and Zn at (0.000, 0.000, 0.000).



Arrangement Q

Compound: RbLiZn2
Source: the Alexandria database
Functional: GGA-PBEsol
Structure: optimized geometry

The value obtained for the density of states at the Fermi level is 8.85 states/eV per cell. As for the size of the total moment: 0.00 μB/cell. The volume comes out at 27.33 Å³ per atom.

The space group is Fm-3m (No. 225) and the conventional cell measures 7.590, 7.590 and 7.590 Å, with angles of 90.00, 90.00 and 90.00 degrees. The distinct sites, in fractional coordinates, are Rb at (0.000, 0.000, 0.000), Li at (0.000, 0.000, 0.500) and Zn at (0.250, 0.250, 0.250).



Which is more stable than every other structure shown? arrangement P is more stable than every other one.